{
  "formula": "NaAl3Zn",
  "functional": "SCAN",
  "state": "single point on PBEsol structure",
  "lattice": [[5.0619, 0.0000, 0.0000], [0.0000, 5.0619, 0.0000], [0.0000, 0.0000, 5.0619]],
  "species": ["Na", "Al", "Al", "Al", "Zn"],
  "frac_coords": [[0.0000, 0.0000, 0.0000], [0.0000, 0.0000, 0.5000], [0.0000, 0.5000, 0.0000], [0.5000, 0.0000, 0.0000], [0.5000, 0.5000, 0.5000]],
  "relative_energy_mev_per_atom": 880,
  "total_energy_ev_per_atom": -6.90,
  "n_ef_per_ev_cell": 2.4
}